No. 1
A relaxed SbOs2 crystal. Source: Alexandria, functional PBEsol.

Cell and atoms, written as POSCAR:
```
SbOs2
1.0
-1.890 1.890 7.859
1.890 -1.890 7.859
1.890 1.890 -7.859
Sb Os
2 4
Direct
0.375 0.625 0.750
0.625 0.375 0.250
0.047 0.797 0.250
0.203 0.953 0.250
0.797 0.047 0.750
0.953 0.203 0.750
```

Summary:
Space-group type ... I4_1/amd, No. 141
Electronic total energy ... -8.7059 eV per atom
Calculated volume ... 112 Å³ per cell
Total moment ... 0.00 μB/cell
DOS(E_F) ... 3.276 states/eV/f.u.

***

No. 2
A relaxed Ca2TaMnO6 crystal. Source: Alexandria, functional PBEsol.

Cell and atoms, written as POSCAR:
```
Ca2TaMnO6
1.0
5.392 0.000 0.000
0.000 7.692 0.000
-0.050 0.000 5.562
Ca Ta Mn O
4 2 2 12
Direct
0.010 0.250 0.041
0.488 0.250 0.565
0.512 0.750 0.435
0.990 0.750 0.959
0.000 0.000 0.500
0.000 0.500 0.500
0.500 0.000 0.000
0.500 0.500 0.000
0.093 0.750 0.529
0.200 0.047 0.792
0.200 0.453 0.792
0.292 0.045 0.300
0.292 0.455 0.300
0.416 0.750 0.024
0.584 0.250 0.976
0.708 0.545 0.700
0.708 0.955 0.700
0.800 0.547 0.208
0.800 0.953 0.208
0.907 0.250 0.471
```

Summary:
Space-group type ... P2_1/m, No. 11
Electronic total energy ... -8.5343 eV per atom
Calculated volume ... 231 Å³ per cell
Total moment ... 8.00 μB/cell
DOS(E_F) ... 1.763 states/eV/f.u.

***

No. 3
A relaxed Dy3Ge3Ru2 crystal. Source: Alexandria, functional PBEsol.

Cell and atoms, written as POSCAR:
```
Dy3Ge3Ru2
1.0
2.105 -5.349 0.000
2.105 5.349 0.000
0.000 0.000 13.754
Dy Ge Ru
6 6 4
Direct
0.078 0.922 0.613
0.078 0.922 0.887
0.354 0.646 0.750
0.646 0.354 0.250
0.922 0.078 0.113
0.922 0.078 0.387
0.335 0.665 0.250
0.385 0.615 0.541
0.385 0.615 0.959
0.615 0.385 0.041
0.615 0.385 0.459
0.665 0.335 0.750
0.214 0.786 0.082
0.214 0.786 0.418
0.786 0.214 0.582
0.786 0.214 0.918
```

Summary:
Space-group type ... Cmcm, No. 63
Electronic total energy ... -7.0588 eV per atom
Calculated volume ... 310 Å³ per cell
Total moment ... 0.00 μB/cell
DOS(E_F) ... 3.752 states/eV/f.u.

***

No. 4
A relaxed TlBiTe2 crystal. Source: Alexandria, functional PBEsol.

Cell and atoms, written as POSCAR:
```
TlBiTe2
1.0
2.249 1.298 7.689
-2.249 1.298 7.689
0.000 -2.597 7.689
Tl Bi Te
1 1 2
Direct
0.000 0.000 0.000
0.500 0.500 0.500
0.243 0.243 0.243
0.757 0.757 0.757
```

Summary:
Space-group type ... R-3m, No. 166
Electronic total energy ... -3.7696 eV per atom
Calculated volume ... 135 Å³ per cell
Total moment ... 0.00 μB/cell
DOS(E_F) ... 0.022 states/eV/f.u.

***

No. 5
A relaxed YMoPb2 crystal. Source: Alexandria, functional PBEsol.

Cell and atoms, written as POSCAR:
```
YMoPb2
1.0
4.574 0.000 0.000
0.000 4.574 0.000
0.000 0.000 4.357
Y Mo Pb
1 1 2
Direct
0.000 0.000 0.000
0.500 0.500 0.000
0.000 0.500 0.500
0.500 0.000 0.500
```

Summary:
Space-group type ... P4/mmm, No. 123
Electronic total energy ... -6.3719 eV per atom
Calculated volume ... 91 Å³ per cell
ΔE to the lowest computed polymorph ... 0.44 eV/f.u.
Total moment ... 1.46 μB/cell
DOS(E_F) ... 2.907 states/eV/f.u.

***

No. 6
A relaxed K3Sb crystal. Source: Alexandria, functional PBEsol.

Cell and atoms, written as POSCAR:
```
K3Sb
1.0
6.002 0.000 0.000
-3.001 5.198 0.000
0.000 0.000 10.667
K Sb
6 2
Direct
0.000 0.000 0.250
0.000 0.000 0.750
0.333 0.667 0.082
0.333 0.667 0.418
0.667 0.333 0.582
0.667 0.333 0.918
0.333 0.667 0.750
0.667 0.333 0.250
```

Summary:
Space-group type ... P6_3/mmc, No. 194
Electronic total energy ... -2.3999 eV per atom
Calculated volume ... 333 Å³ per cell
ΔE to the lowest computed polymorph ... 0.00 eV/f.u.
Total moment ... 0.00 μB/cell
DOS(E_F) ... 0.846 states/eV/f.u.

***

No. 7
A relaxed YCuRe2 crystal. Source: Alexandria, functional PBEsol.

Cell and atoms, written as POSCAR:
```
YCuRe2
1.0
3.794 0.000 0.000
0.000 3.794 0.000
0.000 0.000 4.535
Y Cu Re
1 1 2
Direct
0.000 0.000 0.000
0.500 0.500 0.000
0.000 0.500 0.500
0.500 0.000 0.500
```

Summary:
Space-group type ... P4/mmm, No. 123
Electronic total energy ... -9.0672 eV per atom
Calculated volume ... 65 Å³ per cell
ΔE to the lowest computed polymorph ... 0.00 eV/f.u.
Total moment ... 0.00 μB/cell
DOS(E_F) ... 3.244 states/eV/f.u.

***

No. 8
A relaxed Li2MnB2O6 crystal. Source: Alexandria, functional PBEsol.

Cell and atoms, written as POSCAR:
```
Li2MnB2O6
1.0
5.350 0.000 0.000
0.000 7.635 0.000
-2.747 0.000 5.083
Li Mn B O
4 2 4 12
Direct
0.110 0.065 0.307
0.110 0.435 0.807
0.890 0.565 0.193
0.890 0.935 0.693
0.500 0.000 0.000
0.500 0.500 0.500
0.376 0.742 0.130
0.376 0.758 0.630
0.624 0.242 0.370
0.624 0.258 0.870
0.228 0.601 0.587
0.228 0.899 0.087
0.270 0.583 0.152
0.270 0.917 0.652
0.382 0.235 0.900
0.382 0.265 0.400
0.618 0.735 0.600
0.618 0.765 0.100
0.730 0.083 0.348
0.730 0.417 0.848
0.772 0.101 0.913
0.772 0.399 0.413
```

Summary:
Space-group type ... P2_1/c, No. 14
Electronic total energy ... -7.5087 eV per atom
Calculated volume ... 208 Å³ per cell
Total moment ... 6.00 μB/cell
DOS(E_F) ... 0.000 states/eV/f.u.

***

Look up the electronic total energy of the third one. -7.0588 eV per atom

***

calculated volume of number 1 (SbOs2)? 112 Å³ per cell